# 1
## SbMo3Os (PBE)

Data for an optimized crystal structure of SbMo3Os.

Cell: 4.787 4.787 4.787 Å, 90.00 90.00 90.00°
Space group Pm-3m (No. 221)
Symmetry-distinct sites (fractional):
Sb  0.000  0.000  0.000 x1
Mo  0.000  0.500  0.500 x3
Os  0.500  0.500  0.500 x1

VASP energy = -8.1214 eV per atom
magnetization = 2.22 Bohr magnetons per cell
energy above the most stable polymorph in this dataset = 0 meV per atom

# 2
## Sb2MoOs (PBE)

Data for an optimized crystal structure of Sb2MoOs.

Cell: 8.581 3.150 5.598 Å, 90.00 102.45 90.00°
Space group C2/m (No. 12)
Symmetry-distinct sites (fractional):
Sb  0.248  0.000  0.248 x4
Mo  0.000  0.000  0.500 x2
Os  0.000  0.500  0.000 x2

VASP energy = -7.0786 eV per atom
magnetization = 0.00 Bohr magnetons per cell
energy above the most stable polymorph in this dataset = 337 meV per atom

# 3
## Sb3MoOs (PBE)

Data for an optimized crystal structure of Sb3MoOs.

Cell: 5.144 5.144 5.144 Å, 90.00 90.00 90.00°
Space group Pm-3m (No. 221)
Symmetry-distinct sites (fractional):
Sb  0.000  0.000  0.500 x3
Mo  0.000  0.000  0.000 x1
Os  0.500  0.500  0.500 x1

VASP energy = -5.4029 eV per atom
magnetization = 1.88 Bohr magnetons per cell
energy above the most stable polymorph in this dataset = 210 meV per atom

# 4
## Sb3MoOs (PBE)

Data for an optimized crystal structure of Sb3MoOs.

Cell: 5.143 5.143 5.143 Å, 90.00 90.00 90.00°
Space group Pm-3m (No. 221)
Symmetry-distinct sites (fractional):
Sb  0.000  0.000  0.500 x3
Mo  0.500  0.500  0.500 x1
Os  0.000  0.000  0.000 x1

VASP energy = -5.6131 eV per atom
magnetization = 3.63 Bohr magnetons per cell
energy above the most stable polymorph in this dataset = 0 meV per atom